[1]
The following is a DFT calculation (GGA+U) of YVN2F after structural relaxation.

a = 3.9398 Å, b = 3.9398 Å, c = 3.8424 Å
α = 90.00°, β = 90.00°, γ = 90.00°
Closest atoms and distances in Å follow each position.
Positions (direct):
Y 0.0000 0.0000 0.0000  8 N 2.75, 4 F 2.79
V 0.5000 0.5000 0.5000  2 F 1.92, 4 N 1.97
N 0.0000 0.5000 0.5000  2 V 1.97
N 0.5000 0.0000 0.5000  2 V 1.97
F 0.5000 0.5000 0.0000  2 V 1.92

## Properties
**Space-group type**: No. 123

[2]
The following is a DFT calculation (GGA+U) of VZnNF2 after structural relaxation.

a = 3.9911 Å, b = 3.9911 Å, c = 3.9316 Å
α = 90.00°, β = 90.00°, γ = 90.00°
Closest atoms and distances in Å follow each position.
Positions (direct):
V 0.0000 0.0000 0.0000  2 N 1.97, 4 F 2.00
Zn 0.5000 0.5000 0.5000  8 F 2.80, 4 N 2.82
N 0.0000 0.0000 0.5000  2 V 1.97
F 0.0000 0.5000 0.0000  2 V 2.00
F 0.5000 0.0000 0.0000  2 V 2.00

## Properties
**Space-group type**: No. 123

[3]
The following is a DFT calculation (GGA+U) of VZnN2F after structural relaxation.

a = 3.8496 Å, b = 3.8496 Å, c = 3.9885 Å
α = 90.00°, β = 90.00°, γ = 90.00°
Closest atoms and distances in Å follow each position.
Positions (direct):
V 0.0000 0.0000 0.0000  4 F 2.72, 8 N 2.77
Zn 0.5000 0.5000 0.5000  4 N 1.92, 2 F 1.99
N 0.0000 0.5000 0.5000  2 Zn 1.92
N 0.5000 0.0000 0.5000  2 Zn 1.92
F 0.5000 0.5000 0.0000  2 Zn 1.99

## Properties
**Space-group type**: No. 123

[4]
The following is a DFT calculation (GGA+U) of VZnNF2 after structural relaxation.

a = 3.8546 Å, b = 3.8546 Å, c = 4.2377 Å
α = 90.00°, β = 90.00°, γ = 90.00°
Closest atoms and distances in Å follow each position.
Positions (direct):
V 0.0000 0.0000 0.0000  4 N 2.73, 8 F 2.86
Zn 0.5000 0.5000 0.5000  4 F 1.93, 2 N 2.12
N 0.5000 0.5000 0.0000  2 Zn 2.12
F 0.0000 0.5000 0.5000  2 Zn 1.93
F 0.5000 0.0000 0.5000  2 Zn 1.93

## Properties
**Space-group type**: No. 123

Offset from the most stable computed form values (in eV/f.u.) by entry order: 0.00 0.00 3.18 2.39.